Computed, not measured: a relaxed structure of CoTc2Hg at the PBE level of DFT.

The structure in extended XYZ format:
```
4
Lattice="2.804 0.000 0.000 0.000 2.804 0.000 0.000 0.000 7.659" Properties=species:S:1:pos:R:3 pbc="T T T"
Co 0.000 0.000 3.635
Hg 1.402 1.402 5.622
Tc 0.000 0.000 0.222
Tc 1.402 1.402 2.009
```

Calculated values
Its space group is P4mm. The calculation puts the formation energy at 336.2 meV per atom.

***

Computed, not measured: a relaxed structure of NbGe2C at the PBE level of DFT.

The structure in extended XYZ format:
```
4
Lattice="3.020 -1.792 2.726 -0.268 0.699 4.382 -1.152 -3.326 2.715" Properties=species:S:1:pos:R:3 pbc="T T T"
C 0.000 0.000 0.000
Nb 0.800 -2.209 4.911
Ge 0.400 -1.105 2.456
Ge 1.200 -3.314 7.367
```

Calculated values
Its space group is Fm-3m. The calculation puts the formation energy at 1392.0 meV per atom. Its energy above the most stable polymorph in this dataset is 725.3 meV/atom.

***

Computed, not measured: a relaxed structure of CeBi2Ir at the PBE level of DFT.

The structure in extended XYZ format:
```
4
Lattice="3.599 0.000 0.000 1.800 3.117 0.000 1.800 1.039 10.283" Properties=species:S:1:pos:R:3 pbc="T T T"
Ir 3.599 2.078 5.142
Bi 1.800 1.039 6.985
Bi 5.399 3.117 3.298
Ce 0.000 0.000 0.000
```

Calculated values
Its space group is R-3m. The calculation puts the formation energy at 221.7 meV per atom.

***

Computed, not measured: a relaxed structure of Pa2Si4PtRh3 at the PBE level of DFT.

The structure in extended XYZ format:
```
10
Lattice="-0.249 3.585 -1.999 0.166 -1.992 -3.593 -9.905 -0.720 -0.059" Properties=species:S:1:pos:R:3 pbc="T T T"
Pa -2.544 1.617 -1.014
Pa -7.403 -1.540 -1.841
Si -0.041 0.796 -2.796
Si 0.000 0.000 0.000
Si -6.446 1.333 -1.037
Si -3.501 -1.256 -1.818
Pt -4.994 0.436 -2.825
Rh -4.953 -0.360 -0.029
Rh -8.784 1.163 -1.051
Rh -1.163 -1.087 -1.804
```

Calculated values
The calculation puts the formation energy (no corrections) at -93.7 kJ per mole of atoms. Its space group is P-4m2.

***

Number 1: density 12.56 Mg/m³. Number 2: density 6.69 Mg/m³. Number 3: density 10.80 Mg/m³. Number 4: density 10.66 Mg/m³.